Compound: Ag3Te5
Source: Alexandria via LeMat-Bulk
Functional: PBE-GGA
Structure: relaxed

Computed properties:
The calculation puts the energy relative to the lowest polymorph listed for this composition at 0 meV/atom. As for the uncorrected formation energy: 0.08 eV/atom.

Cell lengths 6.009, 17.179, 8.965 Å; angles 90.00, 90.54, 90.00 degrees
Space group C2/m (No. 12)
One atom of each set of equivalent atoms:
Ag1 0.000 0.121 0.000 x4
Ag2 0.000 0.248 0.500 x4
Ag3 0.247 0.000 0.799 x4
Te1 0.026 0.260 0.172 x8
Te2 0.228 0.500 0.890 x4
Te3 0.250 0.098 0.534 x8

---

Compound: Ag2Te
Source: Alexandria via LeMat-Bulk
Functional: PBE-GGA
Structure: relaxed

Computed properties:
As for the uncorrected formation energy: -0.05 eV/atom.

Cell lengths 8.335, 4.706, 7.765 Å; angles 90.00, 90.74, 90.00 degrees
Space group C2/m (No. 12)
One atom of each set of equivalent atoms:
Ag1 0.006 0.000 0.292 x4
Ag2 0.164 0.500 0.576 x4
Te1 0.176 0.500 0.207 x4

---

Compound: AgTe3
Source: Alexandria via LeMat-Bulk
Functional: PBE-GGA
Structure: relaxed

Computed properties:
As for the uncorrected formation energy: 0.06 eV/atom.

Cell lengths 8.416, 11.186, 7.391 Å; angles 90.00, 90.00, 90.00 degrees
Space group Pmmn (No. 59, origin choice 2)
One atom of each set of equivalent atoms:
Ag1 0.250 0.086 0.170 x4
Ag2 0.250 0.750 0.516 x2
Te1 0.001 0.750 0.988 x4
Te2 0.018 0.576 0.339 x8
Te3 0.250 0.250 0.489 x2
Te4 0.250 0.572 0.834 x4

---

no.,raw total energy (eV/atom)
1,-2.96
2,-3.00
3,-3.01